1.
# RbHf2ZrTi

A relaxed structure of RbHf2ZrTi (PBE, the Alexandria database).

Lattice parameters (Å, degrees): 5.4100 5.4100 5.1322 90.00 90.00 90.00
Element x y z (fractional)
Rb: 0.0000 0.0000 0.0000
Hf: 0.0000 0.5000 0.5000
Hf: 0.5000 0.0000 0.5000
Zr: 0.5000 0.5000 0.5000
Ti: 0.5000 0.5000 0.0000

Calculated values
- ΔH_f (0 K) (meV per atom) = 1326

2.
# RbHfTl2

A relaxed structure of RbHfTl2 (PBE, the Alexandria database).

Lattice parameters (Å, degrees): 5.5367 5.5367 5.5367 60.00 60.00 60.00
Element x y z (fractional)
Rb: 0.0000 0.0000 0.0000
Hf: 0.5000 0.5000 0.5000
Tl: 0.2500 0.2500 0.2500
Tl: 0.7500 0.7500 0.7500

Calculated values
- polymorph energy (0 for the lowest one) (meV/atom) = 0
- ΔH_f (0 K) (meV per atom) = 571

3.
# RbHfTl2

A relaxed structure of RbHfTl2 (PBE, the Alexandria database).

Lattice parameters (Å, degrees): 10.4575 10.4575 10.4575 146.16 146.16 48.61
Element x y z (fractional)
Rb: 0.0000 0.0000 0.0000
Rb: 0.7500 0.2500 0.5000
Hf: 0.2500 0.7500 0.5000
Hf: 0.5000 0.5000 0.0000
Tl: 0.2714 0.6250 0.1464
Tl: 0.3750 0.5214 0.6464
Tl: 0.4786 0.1250 0.8536
Tl: 0.8750 0.7286 0.3536

Calculated values
- polymorph energy (0 for the lowest one) (meV/atom) = 80
- ΔH_f (0 K) (meV per atom) = 651

4.
# Rb2HfV

A relaxed structure of Rb2HfV (PBE, the Alexandria database).

Lattice parameters (Å, degrees): 6.0287 6.0287 6.0287 60.00 60.00 60.00
Element x y z (fractional)
Rb: 0.2500 0.2500 0.2500
Rb: 0.7500 0.7500 0.7500
Hf: 0.0000 0.0000 0.0000
V: 0.5000 0.5000 0.5000

Calculated values
- polymorph energy (0 for the lowest one) (meV/atom) = 442
- ΔH_f (0 K) (meV per atom) = 1943

5.
# Rb2HfV

A relaxed structure of Rb2HfV (PBE, the Alexandria database).

Lattice parameters (Å, degrees): 10.0125 10.0125 10.0125 93.21 93.21 152.64
Element x y z (fractional)
Rb: 0.3750 0.0421 0.1671
Rb: 0.7921 0.6250 0.6671
Rb: 0.8750 0.2079 0.8329
Rb: 0.9579 0.1250 0.3329
Hf: 0.2500 0.7500 0.5000
Hf: 0.5000 0.5000 0.0000
V: 0.0000 0.0000 0.0000
V: 0.7500 0.2500 0.5000

Calculated values
- polymorph energy (0 for the lowest one) (meV/atom) = 0
- ΔH_f (0 K) (meV per atom) = 1502

6.
# RbHf2V

A relaxed structure of RbHf2V (PBE, the Alexandria database).

Lattice parameters (Å, degrees): 7.5899 7.5899 7.5899 60.00 60.00 60.00
Element x y z (fractional)
Rb: 0.1250 0.1250 0.1250
Rb: 0.8750 0.8750 0.8750
Hf: 0.0000 0.5000 0.5000
Hf: 0.5000 0.0000 0.5000
Hf: 0.5000 0.5000 0.0000
Hf: 0.5000 0.5000 0.5000
V: 0.3750 0.3750 0.3750
V: 0.6250 0.6250 0.6250

Calculated values
- polymorph energy (0 for the lowest one) (meV/atom) = 83
- ΔH_f (0 K) (meV per atom) = 1429

7.
# RbHf2V

A relaxed structure of RbHf2V (PBE, the Alexandria database).

Lattice parameters (Å, degrees): 5.1313 5.1313 5.1313 60.00 60.00 60.00
Element x y z (fractional)
Rb: 0.0000 0.0000 0.0000
Hf: 0.2500 0.2500 0.2500
Hf: 0.7500 0.7500 0.7500
V: 0.5000 0.5000 0.5000

Calculated values
- polymorph energy (0 for the lowest one) (meV/atom) = 0
- ΔH_f (0 K) (meV per atom) = 1346

8.
# Rb2HfZrV

A relaxed structure of Rb2HfZrV (PBE, the Alexandria database).

Lattice parameters (Å, degrees): 6.4926 6.4926 4.6225 90.00 90.00 90.00
Element x y z (fractional)
Rb: 0.0000 0.5000 0.0000
Rb: 0.5000 0.0000 0.0000
Hf: 0.0000 0.0000 0.5000
Zr: 0.5000 0.5000 0.0000
V: 0.5000 0.5000 0.5000

Calculated values
- ΔH_f (0 K) (meV per atom) = 2090

Q: What is the formula in the fifth record?
A: Rb2HfV

Q: Among the records above, which one has the lowest ΔH_f (0 K)?
A: number 2

Q: Number 7 is which compound?
A: RbHf2V